(one)
BeAlSbOs: relaxed, PBE-GGA.

Values from the calculation:
- magnetization (μB/f.u.) = 0.01
- symmetry = F-43m, No. 216

a = 4.4316 Å, b = 4.4316 Å, c = 4.4316 Å
α = 60.00°, β = 60.00°, γ = 60.00°
Positions (direct):
Al 0.2500 0.2500 0.2500
Be 0.7500 0.7500 0.7500
Os 0.0000 0.0000 0.0000
Sb 0.5000 0.5000 0.5000

(two)
BeAlSbOs: relaxed, PBE-GGA.

Values from the calculation:
- magnetization (μB/f.u.) = 0.00
- symmetry = F-43m, No. 216

a = 4.4354 Å, b = 4.4354 Å, c = 4.4354 Å
α = 60.00°, β = 60.00°, γ = 60.00°
Positions (direct):
Al 0.0000 0.0000 0.0000
Be 0.7500 0.7500 0.7500
Os 0.2500 0.2500 0.2500
Sb 0.5000 0.5000 0.5000

Most stable to least stable: (two), (one)

(one)
TaBeAlOs: relaxed, PBE-GGA.

Values from the calculation:
- magnetization (μB/f.u.) = 0.00
- symmetry = F-43m, No. 216

a = 4.2709 Å, b = 4.2709 Å, c = 4.2709 Å
α = 60.00°, β = 60.00°, γ = 60.00°
Positions (direct):
Al 0.2500 0.2500 0.2500
Be 0.7500 0.7500 0.7500
Os 0.0000 0.0000 0.0000
Ta 0.5000 0.5000 0.5000

(two)
TaBeAlOs: relaxed, PBE-GGA.

Values from the calculation:
- magnetization (μB/f.u.) = 0.00
- symmetry = F-43m, No. 216

a = 4.3056 Å, b = 4.3056 Å, c = 4.3056 Å
α = 60.00°, β = 60.00°, γ = 60.00°
Positions (direct):
Al 0.5000 0.5000 0.5000
Be 0.7500 0.7500 0.7500
Os 0.0000 0.0000 0.0000
Ta 0.2500 0.2500 0.2500

Most stable to least stable: (two), (one)

(one)
PaBeAl: relaxed, PBE-GGA.

Values from the calculation:
- magnetization (μB/f.u.) = 0.01
- symmetry = F-43m, No. 216

a = 4.3388 Å, b = 4.3388 Å, c = 4.3388 Å
α = 60.00°, β = 60.00°, γ = 60.00°
Positions (direct):
Al 0.5000 0.5000 0.5000
Be 0.2500 0.2500 0.2500
Pa 0.0000 0.0000 0.0000

(two)
PaBeAl: relaxed, PBE-GGA.

Values from the calculation:
- magnetization (μB/f.u.) = 0.01
- symmetry = F-43m, No. 216

a = 4.4689 Å, b = 4.4689 Å, c = 4.4689 Å
α = 60.00°, β = 60.00°, γ = 60.00°
Positions (direct):
Al 0.0000 0.0000 0.0000
Be 0.2500 0.2500 0.2500
Pa 0.7500 0.7500 0.7500

(three)
PaBeAl: relaxed, PBE-GGA.

Values from the calculation:
- magnetization (μB/f.u.) = 0.00
- symmetry = F-43m, No. 216

a = 4.6584 Å, b = 4.6584 Å, c = 4.6584 Å
α = 60.00°, β = 60.00°, γ = 60.00°
Positions (direct):
Al 0.2500 0.2500 0.2500
Be 0.7500 0.7500 0.7500
Pa 0.0000 0.0000 0.0000

Most stable to least stable: (one), (two), (three)

(one)
BeAlTlPd: relaxed, PBE-GGA.

Values from the calculation:
- symmetry = F-43m, No. 216

a = 4.5518 Å, b = 4.5518 Å, c = 4.5518 Å
α = 60.00°, β = 60.00°, γ = 60.00°
Positions (direct):
Al 0.0000 0.0000 0.0000
Be 0.7500 0.7500 0.7500
Pd 0.2500 0.2500 0.2500
Tl 0.5000 0.5000 0.5000

(two)
BeAlTlPd: relaxed, PBE-GGA.

Values from the calculation:
- symmetry = F-43m, No. 216

a = 4.5118 Å, b = 4.5118 Å, c = 4.5118 Å
α = 60.00°, β = 60.00°, γ = 60.00°
Positions (direct):
Al 0.2500 0.2500 0.2500
Be 0.7500 0.7500 0.7500
Pd 0.0000 0.0000 0.0000
Tl 0.5000 0.5000 0.5000

Most stable to least stable: (two), (one)

(one)
YBeAlPt: relaxed, PBE-GGA.

Values from the calculation:
- magnetization (μB/f.u.) = 0.00
- symmetry = F-43m, No. 216

a = 4.5797 Å, b = 4.5797 Å, c = 4.5797 Å
α = 60.00°, β = 60.00°, γ = 60.00°
Positions (direct):
Al 0.5000 0.5000 0.5000
Be 0.7500 0.7500 0.7500
Pt 0.2500 0.2500 0.2500
Y 0.0000 0.0000 0.0000

(two)
YBeAlPt: relaxed, PBE-GGA.

Values from the calculation:
- magnetization (μB/f.u.) = 0.00
- symmetry = F-43m, No. 216

a = 4.5069 Å, b = 4.5069 Å, c = 4.5069 Å
α = 60.00°, β = 60.00°, γ = 60.00°
Positions (direct):
Al 0.2500 0.2500 0.2500
Be 0.7500 0.7500 0.7500
Pt 0.5000 0.5000 0.5000
Y 0.0000 0.0000 0.0000

Most stable to least stable: (one), (two)

(one)
BeAlRe: relaxed, PBE-GGA.

Values from the calculation:
- magnetization (μB/f.u.) = 0.69
- symmetry = F-43m, No. 216

a = 4.0541 Å, b = 4.0541 Å, c = 4.0541 Å
α = 60.00°, β = 60.00°, γ = 60.00°
Positions (direct):
Al 0.2500 0.2500 0.2500
Be 0.7500 0.7500 0.7500
Re 0.0000 0.0000 0.0000

(two)
BeAlRe: relaxed, PBE-GGA.

Values from the calculation:
- magnetization (μB/f.u.) = 0.87
- symmetry = F-43m, No. 216

a = 4.0074 Å, b = 4.0074 Å, c = 4.0074 Å
α = 60.00°, β = 60.00°, γ = 60.00°
Positions (direct):
Al 0.0000 0.0000 0.0000
Be 0.2500 0.2500 0.2500
Re 0.7500 0.7500 0.7500

Most stable to least stable: (one), (two)